(1)
Entry from the Alexandria database: a geometry-optimized Sm3Si2Pd2 structure (GGA-PBEsol).

The structure belongs to space group Pbcm (No. 57); the cell edges are 5.640, 7.938 and 12.985 Å and the angles 90.00°, 90.00° and 90.00°. The asymmetric unit holds Sm at (0.128, 0.105, 0.104), Sm at (0.358, 0.745, 0.250), Si at (0.153, 0.106, 0.750), Si at (0.331, 0.750, 0.000) and Pd at (0.384, 0.043, 0.591).

(2)
Entry from the Alexandria database: a geometry-optimized CaZrO3 structure (GGA-PBEsol).

The structure belongs to space group R-3 (No. 148, hexagonal axes); the cell edges are 5.5595, 5.5595 and 15.1118 Å and the angles 90.00°, 90.00° and 120.00°. The asymmetric unit holds Ca at (0.0000, 0.0000, 0.1383), Zr at (0.0000, 0.0000, 0.3513) and O at (0.0223, 0.3912, 0.9228).

(3)
Entry from the Alexandria database: a geometry-optimized AlSiBr2 structure (GGA-PBEsol).

The structure belongs to space group I-4m2 (No. 119); the cell edges are 3.966, 3.966 and 11.878 Å and the angles 90.00°, 90.00° and 90.00°. The asymmetric unit holds Al at (0.000, 0.000, 0.000), Si at (0.000, 0.500, 0.750), Br at (0.000, 0.000, 0.500) and Br at (0.000, 0.500, 0.250).

(4)
Entry from the Alexandria database: a geometry-optimized BeInNi2Sn structure (GGA-PBEsol).

As for the formation energy: 1.364 eV per atom.

The structure belongs to space group P4/mmm (No. 123); the cell edges are 4.635, 4.635 and 5.329 Å and the angles 90.00°, 90.00° and 90.00°. The asymmetric unit holds Be at (0.000, 0.000, 0.000), In at (0.500, 0.500, 0.000), Ni at (0.000, 0.500, 0.500) and Sn at (0.500, 0.500, 0.500).

(5)
Entry from the Alexandria database: a geometry-optimized NbSiB3 structure (GGA-PBEsol).

For the excess energy over the best structure of this formula in the dataset, the calculation gives 397 meV/atom.

The structure belongs to space group Pm-3m (No. 221); the cell edges are 4.234, 4.234 and 4.234 Å and the angles 90.00°, 90.00° and 90.00°. The asymmetric unit holds Nb at (0.000, 0.000, 0.000), Si at (0.500, 0.500, 0.500) and B at (0.000, 0.000, 0.500).

(6)
Entry from the Alexandria database: a geometry-optimized Sr2AgRh structure (GGA-PBEsol).

As for the formation energy: -0.131 eV per atom.

The structure belongs to space group P4/mmm (No. 123); the cell edges are 3.588, 3.588 and 7.774 Å and the angles 90.00°, 90.00° and 90.00°. The asymmetric unit holds Sr at (0.000, 0.000, 0.225), Ag at (0.500, 0.500, 0.500) and Rh at (0.500, 0.500, 0.000).

(7)
Entry from the Alexandria database: a geometry-optimized LaAlPb structure (GGA-PBEsol).

As for the formation energy: -0.269 eV per atom.

The structure belongs to space group Imm2 (No. 44); the cell edges are 3.430, 3.979 and 11.535 Å and the angles 90.00°, 90.00° and 90.00°. The asymmetric unit holds La at (0.000, 0.000, 0.000), Al at (0.000, 0.000, 0.677) and Pb at (0.000, 0.000, 0.300).

(8)
Entry from the Alexandria database: a geometry-optimized Tl2Ge2Pb structure (GGA-PBEsol).

As for the formation energy: 0.166 eV per atom.

The structure belongs to space group I4/mmm (No. 139); the cell edges are 3.691, 3.691 and 18.955 Å and the angles 90.00°, 90.00° and 90.00°. The asymmetric unit holds Tl at (0.000, 0.000, 0.113), Ge at (0.000, 0.500, 0.250) and Pb at (0.000, 0.000, 0.500).

| no. | E_tot (eV per atom) | DOS(E_F) (states/eV/f.u.) | total moment (μB per cell) |
| --- | --- | --- | --- |
| 1 | -6.411 | 4.89 | 0.00 |
| 2 | -8.732 | 0.00 | 0.00 |
| 3 | -3.126 | 2.66 | 0.01 |
| 4 | -3.347 | 5.80 | 0.01 |
| 5 | -5.843 | 1.96 | 0.00 |
| 6 | -3.914 | 1.33 | 0.00 |
| 7 | -4.748 | 1.93 | 0.00 |
| 8 | -3.662 | 2.70 | 0.00 |